## 1
# MgZn6Ag2

MgZn6Ag2 after structural relaxation (PBE, Alexandria via LeMat-Bulk).

Unit cell a=6.1887 b=6.1887 c=6.1887 alpha=60.00 beta=60.00 gamma=60.00
Sites, in units of the cell vectors:
Mg: 0.0000 0.0000 0.0000
Zn: 0.2887 0.2887 0.7113
Zn: 0.2887 0.7113 0.2887
Zn: 0.2887 0.7113 0.7113
Zn: 0.7113 0.2887 0.2887
Zn: 0.7113 0.2887 0.7113
Zn: 0.7113 0.7113 0.2887
Ag: 0.2500 0.2500 0.2500
Ag: 0.7500 0.7500 0.7500

Results
Size of the total moment (μB per cell): 0.000

## 2
# MgZn6Ag2

MgZn6Ag2 after structural relaxation (PBE, Alexandria via LeMat-Bulk).

Unit cell a=7.8568 b=7.8568 c=7.8568 alpha=158.05 beta=123.88 gamma=60.99
Sites, in units of the cell vectors:
Mg: 0.0000 0.0000 0.0000
Zn: 0.0036 0.3267 0.6769
Zn: 0.3249 0.5000 0.8249
Zn: 0.3502 0.6733 0.6769
Zn: 0.6498 0.3267 0.3231
Zn: 0.6751 0.5000 0.1751
Zn: 0.9964 0.6733 0.3231
Ag: 0.3516 0.8516 0.5000
Ag: 0.6484 0.1484 0.5000

Results
Size of the total moment (μB per cell): 0.000

Relative energies in meV per atom: 1 309; 2 0